This record from Alexandria describes a geometry-optimized K4TiO4 structure. The functional is GGA-PBEsol.

Cell lengths 10.4462, 6.5717, 10.6387 Å; angles 90.00, 111.40, 90.00 degrees
Element x y z (fractional)
K1 0.0570 0.0860 0.1929
K2 0.0570 0.4140 0.6929
K3 0.1671 0.6022 0.0862
K4 0.1671 0.8978 0.5862
K5 0.3674 0.6723 0.8893
K6 0.3674 0.8277 0.3893
K7 0.4341 0.2084 0.7992
K8 0.4341 0.2916 0.2992
K9 0.5659 0.7084 0.7008
K10 0.5659 0.7916 0.2008
K11 0.6326 0.1723 0.6107
K12 0.6326 0.3277 0.1107
K13 0.8329 0.1022 0.4138
K14 0.8329 0.3978 0.9138
K15 0.9430 0.5860 0.3071
K16 0.9430 0.9140 0.8071
Ti1 0.2440 0.1356 0.9928
Ti2 0.2440 0.3644 0.4928
Ti3 0.7560 0.6356 0.5072
Ti4 0.7560 0.8644 0.0072
O1 0.0753 0.2398 0.9696
O2 0.0753 0.2602 0.4696
O3 0.2285 0.0049 0.8364
O4 0.2285 0.4951 0.3364
O5 0.3047 0.5358 0.6404
O6 0.3047 0.9642 0.1404
O7 0.3654 0.1513 0.5258
O8 0.3654 0.3487 0.0258
O9 0.6346 0.6513 0.9742
O10 0.6346 0.8487 0.4742
O11 0.6953 0.0358 0.8596
O12 0.6953 0.4642 0.3596
O13 0.7715 0.5049 0.6636
O14 0.7715 0.9951 0.1636
O15 0.9247 0.7398 0.5304
O16 0.9247 0.7602 0.0304

## Properties
Formation energy without anion corrections, eV per atom: -2.079
Magnetization, μB per cell: 0.29
Distance to the lowest polymorph of the same formula, meV per atom: 8